DFT (PBE) results for an optimized crystal structure of LaOs2Rh.

Summary:
The total energy is -33.591 eV for the cell shown.

a b c (Å): 5.975 5.975 4.733
angles (deg): 112.96 112.96 27.63
Element x y z (fractional)
La (0.000, 0.000, 0.000)
Os (0.222, 0.222, 0.702)
Os (0.778, 0.778, 0.298)
Rh (0.500, 0.500, 0.500)

DFT (PBE) results for an optimized crystal structure of RbNa2In.

Summary:
The total energy is -6.231 eV for the cell shown.

a b c (Å): 7.346 7.346 7.346
angles (deg): 44.78 44.78 44.78
Element x y z (fractional)
Rb (0.000, 0.000, 0.000)
Na (0.197, 0.197, 0.197)
Na (0.474, 0.474, 0.474)
In (0.801, 0.801, 0.801)

DFT (PBE) results for an optimized crystal structure of Pr7Nd2Sm2.

Summary:
The total energy is -51.335 eV for the cell shown.

a b c (Å): 6.727 6.727 9.000
angles (deg): 97.73 97.73 93.09
Element x y z (fractional)
Pr (0.000, 0.000, 0.000)
Pr (0.085, 0.453, 0.795)
Pr (0.151, 0.151, 0.414)
Pr (0.453, 0.085, 0.795)
Pr (0.547, 0.915, 0.205)
Pr (0.849, 0.849, 0.586)
Pr (0.915, 0.547, 0.205)
Nd (0.388, 0.388, 0.144)
Nd (0.612, 0.612, 0.856)
Sm (0.324, 0.676, 0.500)
Sm (0.676, 0.324, 0.500)

Number 1: formation enthalpy at 0 K 287 meV/atom. Number 2: formation enthalpy at 0 K 28 meV/atom. Number 3: formation enthalpy at 0 K 100 meV/atom.